[1]
# TiTl2Au2

A geometry-optimized TiTl2Au2 structure (PBE, Alexandria via LeMat-Bulk).

Cell and atoms, written as POSCAR:
```
TiTl2Au2
1.0
7.0524 0.0000 0.0000
0.0000 7.0524 0.0000
0.0000 0.0000 4.6132
Ti Tl Au
2 4 4
direct
0.0000 0.0000 0.0000
0.5000 0.5000 0.0000
0.1779 0.3221 0.5000
0.3221 0.8221 0.5000
0.6779 0.1779 0.5000
0.8221 0.6779 0.5000
0.1391 0.6391 0.0000
0.3609 0.1391 0.0000
0.6391 0.8609 0.0000
0.8609 0.3609 0.0000
```

Properties
uncorrected energy	-3.701	eV per atom
space-group type	P4/mbm, No. 127
E_form	0.14	eV/atom

---

[2]
# Ga3IrO

A geometry-optimized Ga3IrO structure (PBE, Alexandria via LeMat-Bulk).

Cell and atoms, written as POSCAR:
```
Ga3IrO
1.0
4.7424 0.0000 0.0000
0.0000 4.7424 0.0000
0.0000 0.0000 4.7424
Ga Ir O
3 1 1
direct
0.0000 0.0000 0.5000
0.0000 0.5000 0.0000
0.5000 0.0000 0.0000
0.0000 0.0000 0.0000
0.5000 0.5000 0.5000
```

Properties
uncorrected energy	-4.554	eV per atom
space-group type	Pm-3m, No. 221
ΔE to the lowest computed polymorph	127.8	meV/atom